Crystalline Cu3OsRu at its relaxed geometry, computed with PBE.

Cell and atoms, written as POSCAR:
```
Cu3OsRu
1.0
4.566 0.000 0.000
0.000 4.566 0.000
0.000 0.000 4.566
Cu Os Ru
3 1 1
Direct
0.000 0.000 0.500
0.000 0.500 0.000
0.500 0.000 0.000
0.000 0.000 0.000
0.500 0.500 0.500
```

Summary:
Volume ... 19.0 Å³ per atom
Energy relative to the elements ... 1844 meV/atom
Distance to the lowest polymorph of the same formula ... 0.000 eV per atom

=====

Crystalline SmDySnRh at its relaxed geometry, computed with PBE.

Cell and atoms, written as POSCAR:
```
SmDySnRh
1.0
7.291 0.000 0.000
0.000 7.291 0.000
0.000 0.000 7.291
Sm Dy Sn Rh
4 4 4 4
Direct
0.000 0.000 0.000
0.000 0.500 0.500
0.500 0.000 0.500
0.500 0.500 0.000
0.000 0.000 0.500
0.000 0.500 0.000
0.500 0.000 0.000
0.500 0.500 0.500
0.250 0.250 0.750
0.250 0.750 0.250
0.750 0.250 0.250
0.750 0.750 0.750
0.250 0.250 0.250
0.250 0.750 0.750
0.750 0.250 0.750
0.750 0.750 0.250
```

Summary:
Volume ... 24.2 Å³ per atom
Energy relative to the elements ... -621 meV/atom